No. 1
A relaxed structure of PWBr2, computed with GGA-PBE.

Properties
- DOS at the Fermi energy: 3.964 states/eV/cell
- Size of the total moment: 0.0 μB/f.u.
- Volume: 21.45 Å³ per atom
- Crystal system: trigonal
- Formation energy without anion corrections: 0.753 eV/atom
- Relative energy among the computed polymorphs: 0.8393 eV/atom
- Space-group type: R-3m, No. 166

abc: 10.037 10.037 10.037
angles: 18.17 18.17 18.17
Fractional coordinates of all 4 atoms:
1 P 0.000 0.000 0.000
2 W 0.500 0.500 0.500
3 Br 0.230 0.230 0.230
4 Br 0.770 0.770 0.770


No. 2
A relaxed structure of PWBr2, computed with GGA-PBE.

Properties
- DOS at the Fermi energy: 3.439 states/eV/cell
- Size of the total moment: 0.0 μB/f.u.
- Volume: 18.68 Å³ per atom
- Crystal system: monoclinic
- Formation energy without anion corrections: 1.212 eV/atom
- Relative energy among the computed polymorphs: 1.2982 eV/atom
- Space-group type: P2/m, No. 10

abc: 4.738 3.089 5.532
angles: 90.00 112.63 90.00
Fractional coordinates of all 4 atoms:
1 P 0.000 0.000 0.000
2 W 0.000 0.500 0.500
3 Br 0.500 0.000 0.500
4 Br 0.500 0.500 0.000


No. 3
A relaxed structure of PWBr2, computed with GGA-PBE.

Properties
- DOS at the Fermi energy: 2.150 states/eV/cell
- Size of the total moment: 0.0 μB/f.u.
- Volume: 17.78 Å³ per atom
- Crystal system: cubic
- Formation energy without anion corrections: 1.274 eV/atom
- Relative energy among the computed polymorphs: 1.3605 eV/atom
- Space-group type: Fm-3m, No. 225

abc: 4.651 4.651 4.651
angles: 60.00 60.00 60.00
Fractional coordinates of all 4 atoms:
1 P 0.000 0.000 0.000
2 W 0.500 0.500 0.500
3 Br 0.250 0.250 0.250
4 Br 0.750 0.750 0.750


No. 4
A relaxed structure of P2WBr, computed with GGA-PBE.

Properties
- DOS at the Fermi energy: 1.903 states/eV/cell
- Size of the total moment: 0.0 μB/f.u.
- Volume: 15.81 Å³ per atom
- Crystal system: tetragonal
- Formation energy without anion corrections: 0.894 eV/atom
- Relative energy among the computed polymorphs: 0.9112 eV/atom
- Space-group type: I4/mmm, No. 139

abc: 4.725 4.725 4.725
angles: 128.24 128.24 76.24
Fractional coordinates of all 4 atoms:
1 P 0.250 0.750 0.500
2 P 0.750 0.250 0.500
3 W 0.000 0.000 0.000
4 Br 0.500 0.500 0.000


No. 5
A relaxed structure of PWBr2, computed with GGA-PBE.

Properties
- DOS at the Fermi energy: 3.235 states/eV/cell
- Size of the total moment: 2.0 μB/f.u.
- Volume: 19.64 Å³ per atom
- Crystal system: orthorhombic
- Formation energy without anion corrections: 1.197 eV/atom
- Relative energy among the computed polymorphs: 1.2834 eV/atom
- Space-group type: Pmmm, No. 47

abc: 3.114 4.565 5.526
angles: 90.00 90.00 90.00
Fractional coordinates of all 4 atoms:
1 P 0.000 0.000 0.000
2 W 0.500 0.000 0.500
3 Br 0.000 0.500 0.500
4 Br 0.500 0.500 0.000


No. 6
A relaxed structure of PW2Br, computed with GGA-PBE.

Properties
- DOS at the Fermi energy: 2.719 states/eV/cell
- Size of the total moment: 0.0 μB/f.u.
- Volume: 22.63 Å³ per atom
- Crystal system: monoclinic
- Formation energy without anion corrections: 0.551 eV/atom
- Relative energy among the computed polymorphs: 0.4520 eV/atom
- Space-group type: P2/m, No. 10

abc: 4.505 3.414 5.886
angles: 90.00 90.10 90.00
Fractional coordinates of all 4 atoms:
1 P 0.000 0.000 0.000
2 W 0.306 0.500 0.866
3 W 0.694 0.500 0.134
4 Br 0.500 0.000 0.500


No. 7
A relaxed structure of P2WBr, computed with GGA-PBE.

Properties
- DOS at the Fermi energy: 2.023 states/eV/cell
- Size of the total moment: 0.0 μB/f.u.
- Volume: 18.15 Å³ per atom
- Crystal system: trigonal
- Formation energy without anion corrections: 0.112 eV/atom
- Relative energy among the computed polymorphs: 0.1289 eV/atom
- Space-group type: R-3m, No. 166

abc: 7.987 7.987 7.987
angles: 23.75 23.75 23.75
Fractional coordinates of all 4 atoms:
1 P 0.234 0.234 0.234
2 P 0.766 0.766 0.766
3 W 0.500 0.500 0.500
4 Br 0.000 0.000 0.000


No. 8
A relaxed structure of P2WBr, computed with GGA-PBE.

Properties
- DOS at the Fermi energy: 2.673 states/eV/cell
- Size of the total moment: 0.0 μB/f.u.
- Volume: 19.54 Å³ per atom
- Crystal system: tetragonal
- Formation energy without anion corrections: 0.237 eV/atom
- Relative energy among the computed polymorphs: 0.2544 eV/atom
- Space-group type: P4mm, No. 99

abc: 3.165 3.165 7.802
angles: 90.00 90.00 90.00
Fractional coordinates of all 4 atoms:
1 P 0.000 0.000 0.000
2 P 0.500 0.500 0.151
3 W 0.000 0.000 0.309
4 Br 0.500 0.500 0.548


No. 9
A relaxed structure of P2WBr, computed with GGA-PBE.

Properties
- DOS at the Fermi energy: 2.266 states/eV/cell
- Size of the total moment: 0.0 μB/f.u.
- Volume: 19.83 Å³ per atom
- Crystal system: orthorhombic
- Formation energy without anion corrections: 0.651 eV/atom
- Relative energy among the computed polymorphs: 0.6684 eV/atom
- Space-group type: Immm, No. 71

abc: 6.000 6.000 6.000
angles: 150.86 130.57 58.41
Fractional coordinates of all 4 atoms:
1 P 0.183 0.183 0.000
2 P 0.817 0.817 0.000
3 W 0.000 0.500 0.500
4 Br 0.500 0.000 0.500


No. 10
A relaxed structure of P2WBr, computed with GGA-PBE.

Properties
- DOS at the Fermi energy: 3.217 states/eV/cell
- Size of the total moment: 0.0 μB/f.u.
- Volume: 16.72 Å³ per atom
- Crystal system: orthorhombic
- Formation energy without anion corrections: 1.015 eV/atom
- Relative energy among the computed polymorphs: 1.0323 eV/atom
- Space-group type: Cmmm, No. 65

abc: 4.922 4.922 3.175
angles: 90.00 90.00 119.61
Fractional coordinates of all 4 atoms:
1 P 0.000 0.500 0.000
2 P 0.500 0.000 0.000
3 W 0.000 0.000 0.500
4 Br 0.500 0.500 0.500


No. 11
A relaxed structure of PWBr2, computed with GGA-PBE.

Properties
- DOS at the Fermi energy: 1.668 states/eV/cell
- Size of the total moment: 0.0 μB/f.u.
- Volume: 29.16 Å³ per atom
- Crystal system: orthorhombic
- Formation energy without anion corrections: 0.041 eV/atom
- Relative energy among the computed polymorphs: 0.1271 eV/atom
- Space-group type: Cmmm, No. 65

abc: 7.717 7.717 3.402
angles: 90.00 90.00 144.84
Fractional coordinates of all 4 atoms:
1 P 0.000 0.000 0.000
2 W 0.500 0.500 0.000
3 Br 0.365 0.635 0.500
4 Br 0.635 0.365 0.500


No. 12
A relaxed structure of PW2Br, computed with GGA-PBE.

Properties
- DOS at the Fermi energy: 3.104 states/eV/cell
- Size of the total moment: 0.0 μB/f.u.
- Volume: 17.34 Å³ per atom
- Crystal system: orthorhombic
- Formation energy without anion corrections: 0.934 eV/atom
- Relative energy among the computed polymorphs: 0.8350 eV/atom
- Space-group type: Immm, No. 71

abc: 5.293 5.293 5.293
angles: 147.84 116.75 72.74
Fractional coordinates of all 4 atoms:
1 P 0.000 0.000 0.000
2 W 0.224 0.724 0.500
3 W 0.776 0.276 0.500
4 Br 0.500 0.500 0.000


No. 13
A relaxed structure of PWBr2, computed with GGA-PBE.

Properties
- DOS at the Fermi energy: 2.404 states/eV/cell
- Size of the total moment: 0.2 μB/f.u.
- Volume: 24.80 Å³ per atom
- Crystal system: monoclinic
- Formation energy without anion corrections: 0.198 eV/atom
- Relative energy among the computed polymorphs: 0.2839 eV/atom
- Space-group type: C2/m, No. 12

abc: 8.362 8.362 3.961
angles: 103.09 103.09 21.59
Fractional coordinates of all 4 atoms:
1 P 0.000 0.000 0.000
2 W 0.500 0.500 0.500
3 Br 0.141 0.141 0.635
4 Br 0.859 0.859 0.365


No. 14
A relaxed structure of PWBr2, computed with GGA-PBE.

Properties
- DOS at the Fermi energy: 3.240 states/eV/cell
- Size of the total moment: 0.0 μB/f.u.
- Volume: 20.89 Å³ per atom
- Crystal system: tetragonal
- Formation energy without anion corrections: 0.984 eV/atom
- Relative energy among the computed polymorphs: 1.0702 eV/atom
- Space-group type: P4/mmm, No. 123

abc: 3.047 3.047 8.999
angles: 90.00 90.00 90.00
Fractional coordinates of all 4 atoms:
1 P 0.000 0.000 0.000
2 W 0.000 0.000 0.500
3 Br 0.500 0.500 0.317
4 Br 0.500 0.500 0.683


No. 15
A relaxed structure of PWBr, computed with GGA-PBE.

Properties
- DOS at the Fermi energy: 2.950 states/eV/cell
- Size of the total moment: 0.0 μB/f.u.
- Volume: 18.78 Å³ per atom
- Crystal system: cubic
- Formation energy without anion corrections: 1.304 eV/atom
- Relative energy among the computed polymorphs: 1.1786 eV/atom
- Space-group type: F-43m, No. 216

abc: 4.303 4.303 4.303
angles: 60.00 60.00 60.00
Fractional coordinates of all 3 atoms:
1 P 0.000 0.000 0.000
2 W 0.750 0.750 0.750
3 Br 0.250 0.250 0.250